[1]
Entry from the Alexandria database: a geometry-optimized DyZr2Tl structure (PBE).

The structure belongs to space group R-3m (No. 166, hexagonal axes); the cell edges are 3.1985, 3.1985 and 34.8827 Å and the angles 90.00°, 90.00° and 120.00°. The asymmetric unit holds Dy at (0.0000, 0.0000, 0.0000), Zr at (0.0000, 0.0000, 0.0916) and Tl at (0.0000, 0.0000, 0.5000).

The value obtained for the magnetic moment is 0.0 μB/f.u. The energy relative to the lowest polymorph listed for this composition comes out at 445 meV/atom.

---

[2]
Entry from the Alexandria database: a geometry-optimized CsMoPd2 structure (PBE).

The structure belongs to space group Fm-3m (No. 225); the cell edges are 7.048, 7.048 and 7.048 Å and the angles 90.00°, 90.00° and 90.00°. The asymmetric unit holds Cs at (0.000, 0.000, 0.000), Mo at (0.000, 0.000, 0.500) and Pd at (0.250, 0.250, 0.250).

The value obtained for the magnetic moment is 2.9 μB/f.u.

---

Number 1: DFT formation energy 0.285 eV per atom. Number 2: DFT formation energy 1.171 eV per atom.